Record 1
## SmZn3Br9 (PBE-GGA)

Data for a geometry-optimized SmZn3Br9 structure.

abc: 10.544 10.544 13.554
angles: 124.43 124.43 53.11
Positions (direct):
Sm1 0.228 0.772 0.500
Sm2 0.772 0.228 0.000
Zn1 0.026 0.262 0.830
Zn2 0.262 0.026 0.330
Zn3 0.281 0.432 0.664
Zn4 0.432 0.281 0.164
Zn5 0.651 0.807 0.208
Zn6 0.807 0.651 0.708
Br1 0.080 0.222 0.213
Br2 0.093 0.936 0.326
Br3 0.166 0.437 0.030
Br4 0.222 0.080 0.713
Br5 0.298 0.671 0.692
Br6 0.393 0.417 0.371
Br7 0.417 0.393 0.871
Br8 0.437 0.166 0.530
Br9 0.460 0.767 0.225
Br10 0.488 0.983 0.076
Br11 0.535 0.777 0.556
Br12 0.671 0.298 0.192
Br13 0.767 0.460 0.725
Br14 0.777 0.535 0.056
Br15 0.859 0.870 0.916
Br16 0.870 0.859 0.416
Br17 0.936 0.093 0.826
Br18 0.983 0.488 0.576

Results
Size of the total moment: 0.000 μB/f.u.
Raw formation energy: -1.136 eV per atom

***

Record 2
## NbVW3 (PBE-GGA)

Data for a geometry-optimized NbVW3 structure.

abc: 7.656 7.656 6.826
angles: 112.51 112.51 73.16
Positions (direct):
Nb1 0.130 0.683 0.827
Nb2 0.317 0.870 0.673
Nb3 0.683 0.130 0.327
Nb4 0.870 0.317 0.173
V1 0.037 0.963 0.250
V2 0.306 0.694 0.250
V3 0.694 0.306 0.750
V4 0.963 0.037 0.750
W1 0.021 0.321 0.601
W2 0.128 0.349 0.028
W3 0.321 0.021 0.101
W4 0.333 0.444 0.473
W5 0.349 0.128 0.528
W6 0.444 0.333 0.973
W7 0.556 0.667 0.027
W8 0.651 0.872 0.472
W9 0.667 0.556 0.527
W10 0.679 0.979 0.899
W11 0.872 0.651 0.972
W12 0.979 0.679 0.399

Results
Distance to the lowest polymorph of the same formula: 144 meV per atom
Size of the total moment: 0.000 μB/f.u.
Formation enthalpy at 0 K: 0.420 eV/atom

***

Record 3
## Zn2AsRh (PBE-GGA)

Data for a geometry-optimized Zn2AsRh structure.

abc: 2.913 2.913 7.600
angles: 90.00 90.00 90.31
Positions (direct):
Zn1 0.000 0.000 0.211
Zn2 0.000 0.000 0.789
As1 0.500 0.500 0.500
Rh1 0.500 0.500 0.000

Results
Size of the total moment: 0.000 μB/f.u.
Formation enthalpy at 0 K: -0.085 eV/atom

***

Record 4
## Cd3Ga3Hg (PBE-GGA)

Data for a geometry-optimized Cd3Ga3Hg structure.

abc: 9.343 9.343 4.539
angles: 90.00 90.00 120.00
Positions (direct):
Cd1 0.104 0.510 0.250
Cd2 0.406 0.896 0.250
Cd3 0.490 0.594 0.250
Cd4 0.510 0.406 0.750
Cd5 0.594 0.104 0.750
Cd6 0.896 0.490 0.750
Ga1 0.011 0.183 0.250
Ga2 0.172 0.989 0.250
Ga3 0.183 0.172 0.750
Ga4 0.817 0.828 0.250
Ga5 0.828 0.011 0.750
Ga6 0.989 0.817 0.750
Hg1 0.333 0.667 0.750
Hg2 0.667 0.333 0.250

Results
Distance to the lowest polymorph of the same formula: 0 meV per atom
Size of the total moment: 0.000 μB/f.u.
Formation enthalpy at 0 K: 0.113 eV/atom

***

Number 1: density 3.79 g/cm3. Number 2: density 13.72 g/cm3. Number 3: density 7.95 g/cm3. Number 4: density 7.23 g/cm3.